[1]
A plane-wave DFT calculation with PBE was carried out for crystalline NpZnPt2 at its relaxed geometry.

The structure in CIF format:
```
data_NpZnPt2
_chemical_formula_sum 'Np1 Zn1 Pt2'
_cell_length_a 3.208
_cell_length_b 3.208
_cell_length_c 6.874
_cell_angle_alpha 90.00
_cell_angle_beta 90.00
_cell_angle_gamma 90.00
_symmetry_space_group_name_H-M 'P 4/m m m'
_symmetry_Int_Tables_number 123
_symmetry_space_group_name_Hall '-P 4 2'
loop_
_atom_site_label
_atom_site_type_symbol
_atom_site_fract_x
_atom_site_fract_y
_atom_site_fract_z
Np1 Np 0.000 0.000 0.000
Zn1 Zn 0.000 0.000 0.500
Pt1 Pt 0.500 0.500 0.286
```

Energy of formation: -473 meV per atom

***

[2]
A plane-wave DFT calculation with PBE was carried out for crystalline RbUP2Se8 at its relaxed geometry.

The structure in CIF format:
```
data_RbUP2Se8
_chemical_formula_sum 'Rb3 U3 P6 Se24'
_cell_length_a 6.5098
_cell_length_b 6.5098
_cell_length_c 30.8154
_cell_angle_alpha 90.00
_cell_angle_beta 90.00
_cell_angle_gamma 120.00
_symmetry_space_group_name_H-M 'R -3'
_symmetry_Int_Tables_number 148
_symmetry_space_group_name_Hall '-R 3'
loop_
_atom_site_label
_atom_site_type_symbol
_atom_site_fract_x
_atom_site_fract_y
_atom_site_fract_z
Rb1 Rb 0.0000 0.0000 0.0000
U1 U 0.0000 0.0000 0.5000
P1 P 0.0000 0.0000 0.2426
Se1 Se 0.0000 0.0000 0.3118
Se2 Se 0.0082 0.6541 0.5514
```

Uncorrected formation energy: -436 meV/atom

***

[3]
A plane-wave DFT calculation with PBE was carried out for crystalline Li2NdCu at its relaxed geometry.

The structure in CIF format:
```
data_Li2NdCu
_chemical_formula_sum 'Li2 Nd1 Cu1'
_cell_length_a 3.307
_cell_length_b 3.307
_cell_length_c 7.305
_cell_angle_alpha 90.00
_cell_angle_beta 90.00
_cell_angle_gamma 90.00
_symmetry_space_group_name_H-M 'P 4/m m m'
_symmetry_Int_Tables_number 123
_symmetry_space_group_name_Hall '-P 4 2'
loop_
_atom_site_label
_atom_site_type_symbol
_atom_site_fract_x
_atom_site_fract_y
_atom_site_fract_z
Li1 Li 0.000 0.000 0.174
Nd1 Nd 0.500 0.500 0.500
Cu1 Cu 0.500 0.500 0.000
```

Offset from the most stable computed form: 0 meV per atom
Energy of formation: 115 meV per atom

***

[4]
A plane-wave DFT calculation with PBE was carried out for crystalline CrBi at its relaxed geometry.

The structure in CIF format:
```
data_CrBi
_chemical_formula_sum 'Cr6 Bi6'
_cell_length_a 3.291
_cell_length_b 12.364
_cell_length_c 6.434
_cell_angle_alpha 90.00
_cell_angle_beta 90.00
_cell_angle_gamma 90.00
_symmetry_space_group_name_H-M 'A m m 2'
_symmetry_Int_Tables_number 38
_symmetry_space_group_name_Hall 'A 2 -2'
loop_
_atom_site_label
_atom_site_type_symbol
_atom_site_fract_x
_atom_site_fract_y
_atom_site_fract_z
Cr1 Cr 0.000 0.000 0.000
Cr2 Cr 0.500 0.087 0.789
Bi1 Bi 0.000 0.229 0.057
Bi2 Bi 0.500 0.000 0.390
```

Energy of formation: 551 meV per atom

***

[5]
A plane-wave DFT calculation with PBE was carried out for crystalline CaPm3Dy2Y6 at its relaxed geometry.

The structure in CIF format:
```
data_CaPm3Dy2Y6
_chemical_formula_sum 'Ca2 Pm6 Dy4 Y12'
_cell_length_a 6.259
_cell_length_b 10.841
_cell_length_c 11.931
_cell_angle_alpha 90.00
_cell_angle_beta 100.05
_cell_angle_gamma 90.00
_symmetry_space_group_name_H-M 'C 1 2/m 1'
_symmetry_Int_Tables_number 12
_symmetry_space_group_name_Hall '-C 2y'
loop_
_atom_site_label
_atom_site_type_symbol
_atom_site_fract_x
_atom_site_fract_y
_atom_site_fract_z
Ca1 Ca 0.000 0.000 0.000
Pm1 Pm 0.000 0.165 0.500
Pm2 Pm 0.000 0.500 0.500
Dy1 Dy 0.000 0.333 0.000
Y1 Y 0.246 0.331 0.749
Y2 Y 0.246 0.500 0.251
```

Energy of formation: 51 meV per atom

***

[6]
A plane-wave DFT calculation with PBE was carried out for crystalline RePPb2 at its relaxed geometry.

The structure in CIF format:
```
data_RePPb2
_chemical_formula_sum 'Re1 P1 Pb2'
_cell_length_a 4.612
_cell_length_b 3.553
_cell_length_c 5.752
_cell_angle_alpha 90.00
_cell_angle_beta 112.96
_cell_angle_gamma 90.00
_symmetry_space_group_name_H-M 'P 1 2/m 1'
_symmetry_Int_Tables_number 10
_symmetry_space_group_name_Hall '-P 2y'
loop_
_atom_site_label
_atom_site_type_symbol
_atom_site_fract_x
_atom_site_fract_y
_atom_site_fract_z
Re1 Re 0.000 0.000 0.000
P1 P 0.500 0.500 0.500
Pb1 Pb 0.000 0.000 0.500
Pb2 Pb 0.500 0.500 0.000
```

Energy of formation: 1036 meV per atom

***

[7]
A plane-wave DFT calculation with PBE was carried out for crystalline ZrMo2Br at its relaxed geometry.

The structure in CIF format:
```
data_ZrMo2Br
_chemical_formula_sum 'Zr1 Mo2 Br1'
_cell_length_a 3.252
_cell_length_b 3.252
_cell_length_c 6.932
_cell_angle_alpha 90.00
_cell_angle_beta 90.00
_cell_angle_gamma 90.00
_symmetry_space_group_name_H-M 'P 4/m m m'
_symmetry_Int_Tables_number 123
_symmetry_space_group_name_Hall '-P 4 2'
loop_
_atom_site_label
_atom_site_type_symbol
_atom_site_fract_x
_atom_site_fract_y
_atom_site_fract_z
Zr1 Zr 0.000 0.000 0.000
Mo1 Mo 0.500 0.500 0.247
Br1 Br 0.000 0.000 0.500
```

Offset from the most stable computed form: 516 meV per atom
Uncorrected formation energy: 631 meV/atom

***

[8]
A plane-wave DFT calculation with PBE was carried out for crystalline La4SnAsI2 at its relaxed geometry.

The structure in CIF format:
```
data_La4SnAsI2
_chemical_formula_sum 'La4 Sn1 As1 I2'
_cell_length_a 7.890
_cell_length_b 4.529
_cell_length_c 8.112
_cell_angle_alpha 90.00
_cell_angle_beta 108.78
_cell_angle_gamma 90.00
_symmetry_space_group_name_H-M 'P 1 2/m 1'
_symmetry_Int_Tables_number 10
_symmetry_space_group_name_Hall '-P 2y'
loop_
_atom_site_label
_atom_site_type_symbol
_atom_site_fract_x
_atom_site_fract_y
_atom_site_fract_z
La1 La 0.222 0.000 0.207
La2 La 0.246 0.500 0.784
Sn1 Sn 0.500 0.000 0.000
As1 As 0.000 0.500 0.000
I1 I 0.000 0.000 0.500
I2 I 0.500 0.500 0.500
```

Uncorrected formation energy: -1186 meV/atom

***

[9]
A plane-wave DFT calculation with PBE was carried out for crystalline TlHg2Cl4 at its relaxed geometry.

The structure in CIF format:
```
data_TlHg2Cl4
_chemical_formula_sum 'Tl1 Hg2 Cl4'
_cell_length_a 6.301
_cell_length_b 6.301
_cell_length_c 7.220
_cell_angle_alpha 90.00
_cell_angle_beta 90.00
_cell_angle_gamma 90.00
_symmetry_space_group_name_H-M 'P -4 2 m'
_symmetry_Int_Tables_number 111
_symmetry_space_group_name_Hall 'P -4 2'
loop_
_atom_site_label
_atom_site_type_symbol
_atom_site_fract_x
_atom_site_fract_y
_atom_site_fract_z
Tl1 Tl 0.000 0.000 0.000
Hg1 Hg 0.000 0.500 0.500
Cl1 Cl 0.260 0.260 0.296
```

Offset from the most stable computed form: 148 meV per atom
Uncorrected formation energy: -531 meV/atom

***

[10]
A plane-wave DFT calculation with PBE was carried out for crystalline CeHoMg14 at its relaxed geometry.

The structure in CIF format:
```
data_CeHoMg14
_chemical_formula_sum 'Ce1 Ho1 Mg14'
_cell_length_a 6.912
_cell_length_b 6.912
_cell_length_c 8.078
_cell_angle_alpha 90.00
_cell_angle_beta 90.00
_cell_angle_gamma 90.00
_symmetry_space_group_name_H-M 'P 4/m m m'
_symmetry_Int_Tables_number 123
_symmetry_space_group_name_Hall '-P 4 2'
loop_
_atom_site_label
_atom_site_type_symbol
_atom_site_fract_x
_atom_site_fract_y
_atom_site_fract_z
Ce1 Ce 0.000 0.000 0.000
Ho1 Ho 0.500 0.500 0.000
Mg1 Mg 0.000 0.000 0.500
Mg2 Mg 0.000 0.500 0.000
Mg3 Mg 0.000 0.500 0.500
Mg4 Mg 0.252 0.252 0.262
Mg5 Mg 0.500 0.500 0.500
```

Energy of formation: -4 meV per atom

***

[11]
A plane-wave DFT calculation with PBE was carried out for crystalline NiMo2Rh at its relaxed geometry.

The structure in CIF format:
```
data_NiMo2Rh
_chemical_formula_sum 'Ni4 Mo8 Rh4'
_cell_length_a 6.127
_cell_length_b 6.127
_cell_length_c 6.127
_cell_angle_alpha 90.00
_cell_angle_beta 90.00
_cell_angle_gamma 90.00
_symmetry_space_group_name_H-M 'F -4 3 m'
_symmetry_Int_Tables_number 216
_symmetry_space_group_name_Hall 'F -4 2 3'
loop_
_atom_site_label
_atom_site_type_symbol
_atom_site_fract_x
_atom_site_fract_y
_atom_site_fract_z
Ni1 Ni 0.000 0.000 0.000
Mo1 Mo 0.000 0.000 0.500
Mo2 Mo 0.250 0.250 0.250
Rh1 Rh 0.250 0.250 0.750
```

Offset from the most stable computed form: 219 meV per atom
Energy of formation: 105 meV per atom